# 1
The following is a DFT calculation (GGA-PBEsol) of a relaxed Y2RuCl crystal.

The structure in POSCAR format:
```
Y2RuCl
1.0
3.388 0.000 0.000
0.000 3.335 0.000
-0.015 0.000 7.902
Y Ru Cl
2 1 1
direct
0.001 0.000 0.208 Y
0.999 0.000 0.792 Y
0.500 0.500 0.000 Ru
0.000 0.500 0.500 Cl
```

The total DFT energy (no corrections) is -7.404 eV per atom. The energy relative to the elements, uncorrected comes out at -0.948 eV/atom.

***

# 2
The following is a DFT calculation (GGA-PBEsol) of a relaxed YRuCl crystal.

The structure in POSCAR format:
```
YRuCl
1.0
3.343 0.000 0.000
-1.671 2.895 0.000
0.000 0.000 6.413
Y Ru Cl
1 1 1
direct
0.000 0.000 0.000 Y
0.667 0.333 0.301 Ru
0.333 0.667 0.695 Cl
```

The total DFT energy (no corrections) is -6.600 eV per atom. The energy relative to the elements, uncorrected comes out at -0.266 eV/atom.

***

# 3
The following is a DFT calculation (GGA-PBEsol) of a relaxed ZnRu2Cl crystal.

The structure in POSCAR format:
```
ZnRu2Cl
1.0
10.011 0.000 0.000
0.000 2.756 0.000
-2.255 0.000 4.283
Zn Ru Cl
2 4 2
direct
0.000 0.000 0.000 Zn
0.500 0.500 0.000 Zn
0.255 0.500 0.086 Ru
0.475 0.000 0.489 Ru
0.755 0.000 0.086 Ru
0.975 0.500 0.489 Ru
0.193 0.000 0.647 Cl
0.693 0.500 0.647 Cl
```

The total DFT energy (no corrections) is -5.508 eV per atom. The energy relative to the elements, uncorrected comes out at 0.476 eV/atom.

***

# 4
The following is a DFT calculation (GGA-PBEsol) of a relaxed ZnRu2Cl crystal.

The structure in POSCAR format:
```
ZnRu2Cl
1.0
4.285 0.000 0.000
0.000 4.285 0.000
0.000 0.000 2.911
Zn Ru Cl
1 2 1
direct
0.000 0.000 0.000 Zn
0.000 0.500 0.500 Ru
0.500 0.000 0.500 Ru
0.500 0.500 0.000 Cl
```

The total DFT energy (no corrections) is -5.357 eV per atom. The energy relative to the elements, uncorrected comes out at 0.626 eV/atom.

***

The highest energy relative to the elements, uncorrected belongs to which entry?
number 4

***

energy relative to the elements, uncorrected of number 1 (Y2RuCl)?
-0.948 eV/atom